DFT (PBE) results for an optimized crystal structure of Y2In3.

Distance to the lowest polymorph of the same formula in meV/atom: 298.8
Total moment in μB/f.u.: 0.000
Total energy in eV per cell: -88.06
ΔE_f in meV per atom: -174
Space-group type: I-43d, No. 220

Lattice parameters (Å, degrees): 9.1275 9.1275 9.1275 109.47 109.47 109.47
Fractional positions:
In  0.2603  0.7500  0.5103
In  0.7500  0.9897  0.7397
In  0.2500  0.2397  0.4897
In  0.4897  0.7397  0.2500
In  0.7603  0.0103  0.2500
In  0.7397  0.4897  0.7500
In  0.2500  0.5103  0.7603
In  0.5103  0.2500  0.2603
In  0.9897  0.7500  0.2397
In  0.2397  0.2500  0.9897
In  0.0103  0.7603  0.7500
In  0.7500  0.2603  0.0103
Y  0.0000  0.0000  0.5770
Y  0.5770  0.5000  0.0000
Y  0.0000  0.0000  0.0770
Y  0.0770  0.5000  0.0000
Y  0.4230  0.9230  0.9230
Y  0.5000  0.5770  0.5000
Y  0.5000  0.0770  0.5000
Y  0.9230  0.4230  0.4230